Entry 1:
DFT (PBE-GGA) results for a relaxed LiCaAcDy crystal.

Computed properties:
Theoretical density in g/cm3: 5.12
Space-group type: No. 216
E_form in meV per atom: 250

Cell: 5.848 5.848 5.848 Å, 60.00 60.00 60.00°
Fractional positions:
1 Ac 0.500 0.500 0.500
2 Li 0.000 0.000 0.000
3 Ca 0.250 0.250 0.250
4 Dy 0.750 0.750 0.750

***

Entry 2:
DFT (PBE-GGA) results for a relaxed CaAcDyLu crystal.

Computed properties:
Theoretical density in g/cm3: 6.96
Space-group type: No. 216
E_form in meV per atom: 127

Cell: 5.887 5.887 5.887 Å, 60.00 60.00 60.00°
Fractional positions:
1 Ac 0.500 0.500 0.500
2 Lu 0.750 0.750 0.750
3 Ca 0.250 0.250 0.250
4 Dy 0.000 0.000 0.000

***

Entry 3:
DFT (PBE-GGA) results for a relaxed CaAcDyPb crystal.

Computed properties:
Theoretical density in g/cm3: 7.88
Space-group type: No. 216
E_form in meV per atom: -13

Cell: 5.746 5.746 5.746 Å, 60.00 60.00 60.00°
Fractional positions:
1 Pb 0.000 0.000 0.000
2 Ac 0.500 0.500 0.500
3 Ca 0.750 0.750 0.750
4 Dy 0.250 0.250 0.250